A relaxed Zr2ReW crystal, computed with PBE.

Cell: 3.2831 4.7800 4.6272 Å, 90.00 90.00 90.00°
Positions (direct):
1 Zr 0.0000 0.0000 0.0000
2 Zr 0.5000 0.5000 0.0000
3 W 0.0000 0.5000 0.5000
4 Re 0.5000 0.0000 0.5000

## Properties
Symmetry   No. 47
Spin magnetization   0.00 μB per cell
Crystal system   orthorhombic
ΔE_f   0.063 eV per atom
N(E_F)   3.869 states/eV/f.u.

A relaxed ZrRe2W crystal, computed with PBE.

Cell: 5.3400 5.2940 2.8036 Å, 79.54 80.50 117.43°
Positions (direct):
1 Re 0.0000 0.0000 0.0000
2 Re 0.5000 0.0000 0.5000
3 W 0.0000 0.5000 0.5000
4 Zr 0.5000 0.5000 0.0000

## Properties
Symmetry   No. 12
Spin magnetization   0.00 μB per cell
Crystal system   monoclinic
ΔE_f   0.011 eV per atom
N(E_F)   2.614 states/eV/f.u.

A relaxed ZrRe2W crystal, computed with PBE.

Cell: 4.5399 4.5399 4.5399 Å, 60.00 60.00 60.00°
Positions (direct):
1 Zr 0.7500 0.7500 0.7500
2 Re 0.2500 0.2500 0.2500
3 Re 0.0000 0.0000 0.0000
4 W 0.5000 0.5000 0.5000

## Properties
Symmetry   No. 216
Spin magnetization   0.00 μB per cell
Crystal system   cubic
ΔE_f   -0.006 eV per atom
N(E_F)   2.580 states/eV/f.u.

A relaxed Zr4ReW crystal, computed with PBE.

Cell: 5.5346 5.5346 5.5346 Å, 60.00 60.00 60.00°
Positions (direct):
1 Re 0.7500 0.7500 0.7500
2 Zr 0.3751 0.3751 0.3751
3 Zr 0.8748 0.3751 0.3751
4 Zr 0.3751 0.8748 0.3751
5 Zr 0.3751 0.3751 0.8748
6 W 0.0000 0.0000 0.0000

## Properties
Symmetry   No. 216
Spin magnetization   0.00 μB per cell
Crystal system   cubic
ΔE_f   0.752 eV per atom
N(E_F)   8.834 states/eV/f.u.

A relaxed Zr2ReW crystal, computed with PBE.

Cell: 2.9067 2.9067 9.2566 Å, 90.00 90.00 110.94°
Positions (direct):
1 Zr 0.0000 0.0000 0.4929
2 Zr 0.0000 0.0000 0.0071
3 W 0.5000 0.5000 0.7500
4 Re 0.5000 0.5000 0.2500

## Properties
Symmetry   No. 65
Spin magnetization   0.00 μB per cell
Crystal system   orthorhombic
ΔE_f   0.078 eV per atom
N(E_F)   4.296 states/eV/f.u.

A relaxed ZrRe2W crystal, computed with PBE.

Cell: 4.5013 2.7947 5.3521 Å, 80.46 90.00 90.00°
Positions (direct):
1 Zr 0.5000 0.7500 0.7500
2 W 0.5000 0.2500 0.2500
3 Re 0.0000 0.0056 0.0086
4 Re 0.0000 0.4944 0.4914

## Properties
Symmetry   No. 10
Spin magnetization   0.00 μB per cell
Crystal system   monoclinic
ΔE_f   0.008 eV per atom
N(E_F)   2.346 states/eV/f.u.

A relaxed ZrReW crystal, computed with PBE.

Cell: 5.5570 5.5570 5.5570 Å, 146.33 146.33 48.35°
Positions (direct):
1 W 0.3454 0.3454 0.0000
2 Re 0.9901 0.9901 0.0000
3 Zr 0.6645 0.6645 0.0000

## Properties
Symmetry   No. 107
Spin magnetization   0.00 μB per cell
Crystal system   tetragonal
ΔE_f   -0.105 eV per atom
N(E_F)   1.881 states/eV/f.u.

A relaxed ZrRe2W crystal, computed with PBE.

Cell: 4.5542 4.5542 3.2102 Å, 90.00 90.00 90.00°
Positions (direct):
1 Zr 0.0000 0.5000 0.5000
2 Re 0.5000 0.5000 0.0000
3 Re 0.0000 0.0000 0.0000
4 W 0.5000 0.0000 0.5000

## Properties
Symmetry   No. 123
Spin magnetization   0.00 μB per cell
Crystal system   tetragonal
ΔE_f   -0.131 eV per atom
N(E_F)   1.631 states/eV/f.u.

A relaxed ZrRe2W crystal, computed with PBE.

Cell: 2.7955 2.7955 9.0849 Å, 90.00 90.00 110.41°
Positions (direct):
1 Zr 0.5000 0.5000 0.7500
2 Re 0.0000 0.0000 0.0121
3 Re 0.0000 0.0000 0.4879
4 W 0.5000 0.5000 0.2500

## Properties
Symmetry   No. 65
Spin magnetization   0.00 μB per cell
Crystal system   orthorhombic
ΔE_f   0.037 eV per atom
N(E_F)   2.596 states/eV/f.u.

A relaxed YRe4 crystal, computed with PBE.

Cell: 6.0672 6.0672 6.0672 Å, 138.44 138.44 60.22°
Positions (direct):
1 Re 0.3775 0.3775 0.0000
2 Re 0.7500 0.2500 0.5000
3 Re 0.2500 0.7500 0.5000
4 Re 0.6225 0.6225 0.0000
5 Y 0.0000 0.0000 0.0000

## Properties
Symmetry   No. 139
Spin magnetization   0.00 μB per cell
Crystal system   tetragonal
ΔE_f   0.038 eV per atom
N(E_F)   5.231 states/eV/f.u.

A relaxed Y2Re crystal, computed with PBE.

Cell: 8.1947 8.1947 5.3043 Å, 90.00 90.00 155.33°
Positions (direct):
1 Y 0.2967 0.7033 0.7500
2 Y 0.4247 0.5753 0.2500
3 Y 0.5753 0.4247 0.7500
4 Y 0.7033 0.2967 0.2500
5 Re 0.0623 0.9377 0.2500
6 Re 0.9377 0.0623 0.7500

## Properties
Symmetry   No. 63
Spin magnetization   0.00 μB per cell
Crystal system   orthorhombic
ΔE_f   0.267 eV per atom
N(E_F)   3.036 states/eV/f.u.

A relaxed Y3Re crystal, computed with PBE.

Cell: 4.9011 5.7518 7.0710 Å, 90.00 90.00 90.00°
Positions (direct):
1 Y 0.5000 0.1885 0.7583
2 Y 0.0000 0.3605 0.5000
3 Y 0.5000 0.6395 0.0000
4 Y 0.0000 0.8115 0.2583
5 Y 0.0000 0.8115 0.7417
6 Y 0.5000 0.1885 0.2417
7 Re 0.5000 0.7143 0.5000
8 Re 0.0000 0.2857 0.0000

## Properties
Symmetry   No. 59
Spin magnetization   0.00 μB per cell
Crystal system   orthorhombic
ΔE_f   0.249 eV per atom
N(E_F)   4.520 states/eV/f.u.